1.
An optimized crystal structure of Tb2DyHo4Mg. Source: Alexandria via LeMat-Bulk, functional PBE.

Results
**Volume**: 30.38 A^3/atom
**Spin magnetization**: 0.00 μB/f.u.
**Crystal system**: monoclinic
**Energy of formation**: 0.0270 eV per atom

Cell and atoms, written as CIF:
```
data_Tb2DyHo4Mg
_chemical_formula_sum 'Tb4 Dy2 Ho8 Mg2'
_space_group_name_H-M_alt 'C 1 2/m 1'
_space_group_IT_number 12
_cell_length_a 11.032
_cell_length_b 4.989
_cell_length_c 9.871
_cell_angle_alpha 90.00
_cell_angle_beta 116.53
_cell_angle_gamma 90.00
loop_
_space_group_symop_operation_xyz
'x,y,z'
'-x,-y,-z'
'-x,y,-z'
'x,-y,z'
'x+1/2,y+1/2,z'
'-x+1/2,-y+1/2,-z'
'-x+1/2,y+1/2,-z'
'x+1/2,-y+1/2,z'
loop_
_atom_site_label
_atom_site_type_symbol
_atom_site_fract_x
_atom_site_fract_y
_atom_site_fract_z
_atom_site_occupancy
Tb1 Tb 0.002 0.000 0.250 1
Dy1 Dy 0.000 0.500 0.500 1
Ho1 Ho 0.246 0.500 0.876 1
Ho2 Ho 0.250 0.000 0.627 1
Mg1 Mg 0.000 0.500 0.000 1
```

2.
An optimized crystal structure of TbDy4Ho2Mg. Source: Alexandria via LeMat-Bulk, functional PBE.

Results
**Volume**: 30.42 A^3/atom
**Spin magnetization**: 0.00 μB/f.u.
**Crystal system**: orthorhombic
**Energy of formation**: 0.0198 eV per atom

Cell and atoms, written as CIF:
```
data_TbDy4Ho2Mg
_chemical_formula_sum 'Tb1 Dy4 Ho2 Mg1'
_space_group_name_H-M_alt 'P m m m'
_space_group_IT_number 47
_cell_length_a 4.942
_cell_length_b 4.953
_cell_length_c 9.940
_cell_angle_alpha 90.00
_cell_angle_beta 90.00
_cell_angle_gamma 90.00
loop_
_space_group_symop_operation_xyz
'x,y,z'
'-x,-y,-z'
'-x,-y,z'
'x,y,-z'
'x,-y,-z'
'-x,y,z'
'-x,y,-z'
'x,-y,z'
loop_
_atom_site_label
_atom_site_type_symbol
_atom_site_fract_x
_atom_site_fract_y
_atom_site_fract_z
_atom_site_occupancy
Tb1 Tb 0.000 0.000 0.000 1
Dy1 Dy 0.000 0.500 0.253 1
Dy2 Dy 0.500 0.000 0.253 1
Ho1 Ho 0.000 0.000 0.500 1
Ho2 Ho 0.500 0.500 0.000 1
Mg1 Mg 0.500 0.500 0.500 1
```

What did the first record say?
An optimized crystal structure of Tb2DyHo4Mg. Source: Alexandria via LeMat-Bulk, functional PBE.

Results
**Volume**: 30.38 A^3/atom
**Spin magnetization**: 0.00 μB/f.u.
**Crystal system**: monoclinic
**Energy of formation**: 0.0270 eV per atom

Cell and atoms, written as CIF:
```
data_Tb2DyHo4Mg
_chemical_formula_sum 'Tb4 Dy2 Ho8 Mg2'
_space_group_name_H-M_alt 'C 1 2/m 1'
_space_group_IT_number 12
_cell_length_a 11.032
_cell_length_b 4.989
_cell_length_c 9.871
_cell_angle_alpha 90.00
_cell_angle_beta 116.53
_cell_angle_gamma 90.00
loop_
_space_group_symop_operation_xyz
'x,y,z'
'-x,-y,-z'
'-x,y,-z'
'x,-y,z'
'x+1/2,y+1/2,z'
'-x+1/2,-y+1/2,-z'
'-x+1/2,y+1/2,-z'
'x+1/2,-y+1/2,z'
loop_
_atom_site_label
_atom_site_type_symbol
_atom_site_fract_x
_atom_site_fract_y
_atom_site_fract_z
_atom_site_occupancy
Tb1 Tb 0.002 0.000 0.250 1
Dy1 Dy 0.000 0.500 0.500 1
Ho1 Ho 0.246 0.500 0.876 1
Ho2 Ho 0.250 0.000 0.627 1
Mg1 Mg 0.000 0.500 0.000 1
```

The highest volume belongs to which entry?
TbDy4Ho2Mg